1.
A relaxed LaOs2C crystal, computed with GGA-PBE.

Values from the calculation:
Crystal system: tetragonal
Magnetization, μB per cell: 0.00
Energy of formation from the pure elements, kcal/mol of atoms: 9.67
ρ, g/cm³: 10.95

Cell and atoms, written as POSCAR:
```
LaOs2C
1.0
4.8843 0.0000 0.0000
0.0000 4.8843 0.0000
2.4422 2.4422 6.7531
C Os La
2 4 2
direct
0.5000 0.5000 0.0000 C
0.2500 0.7500 0.5000 C
0.3751 0.1250 0.2500 Os
0.3749 0.6250 0.2500 Os
0.3750 0.6249 0.7500 Os
0.8750 0.6251 0.7500 Os
0.0000 0.0000 0.0000 La
0.7500 0.2500 0.5000 La
```

=====

2.
A relaxed HfAlHRu2 crystal, computed with GGA-PBE.

Values from the calculation:
Crystal system: tetragonal
E, eV/atom: -7.53
Magnetization, μB per cell: 0.00
ρ, g/cm³: 10.47

Cell and atoms, written as POSCAR:
```
HfAlHRu2
1.0
4.1431 0.0000 0.0000
0.0000 4.1431 0.0000
0.0000 0.0000 3.7769
Ru Hf Al H
2 1 1 1
direct
0.0000 0.5000 0.0000 Ru
0.5000 0.0000 0.0000 Ru
0.0000 0.0000 0.5000 Hf
0.5000 0.5000 0.5000 Al
0.0000 0.0000 0.0000 H
```

=====

3.
A relaxed Sm2ErTmP4 crystal, computed with GGA-PBE.

Values from the calculation:
Crystal system: monoclinic
Magnetization, μB per cell: 0.00
Energy of formation from the pure elements, kcal/mol of atoms: -36.54
ρ, g/cm³: 6.81

Cell and atoms, written as POSCAR:
```
Sm2ErTmP4
1.0
-2.6449 -1.0164 -2.8740
-1.8614 -5.6254 3.7026
-4.0322 5.4092 1.7978
Sm Er Tm P
2 1 1 4
direct
0.5000 0.0000 0.5000 Sm
0.0000 0.5000 0.5000 Sm
0.0000 0.0000 0.0000 Er
0.5000 0.5000 0.0000 Tm
0.5000 0.2476 0.2410 P
0.5000 0.7524 0.7590 P
0.0000 0.2537 0.7593 P
0.0000 0.7463 0.2407 P
```

=====

4.
A relaxed TaTlS2 crystal, computed with GGA-PBE.

Values from the calculation:
Crystal system: orthorhombic
Uncorrected formation energy, kJ per mole of atoms: -28.2
Magnetization, μB per cell: 0.00
ρ, g/cm³: 7.66

Cell and atoms, written as POSCAR:
```
TaTlS2
1.0
1.7702 -11.4475 0.0000
1.7702 11.4475 0.0000
0.0000 0.0000 4.8077
Tl S Ta
2 4 2
direct
0.3108 0.6892 0.2500 Tl
0.6892 0.3108 0.7500 Tl
0.1547 0.8453 0.2500 S
0.8453 0.1547 0.7500 S
0.9437 0.0563 0.2500 S
0.0563 0.9437 0.7500 S
0.0521 0.9479 0.2500 Ta
0.9479 0.0521 0.7500 Ta
```

=====

5.
A relaxed TiSi4Tc2 crystal, computed with GGA-PBE.

Values from the calculation:
Crystal system: tetragonal
Uncorrected formation energy, kJ per mole of atoms: 55.3
Magnetization, μB per cell: 1.79
ρ, g/cm³: 4.73

Cell and atoms, written as POSCAR:
```
TiSi4Tc2
1.0
-0.2874 -3.3011 3.0539
2.9024 -2.4736 -2.4007
6.0022 -0.4082 3.4482
Si Tc Ti
4 2 1
direct
0.2017 0.2017 0.5965 Si
0.7983 0.7983 0.4035 Si
0.0000 0.5000 0.0000 Si
0.5000 0.0000 0.0000 Si
0.3948 0.3948 0.2103 Tc
0.6052 0.6052 0.7897 Tc
0.0000 0.0000 0.0000 Ti
```

=====

6.
A relaxed PaHg5 crystal, computed with GGA-PBE.

Values from the calculation:
Crystal system: monoclinic
Magnetization, μB per cell: 1.13
Energy of formation from the pure elements, kcal/mol of atoms: 2.30
ρ, g/cm³: 13.55
Relative energy among the computed polymorphs, meV per atom: 43

Cell and atoms, written as POSCAR:
```
PaHg5
1.0
3.1279 0.0000 0.0000
-1.5639 5.8698 -2.3624
0.0000 -1.2601 8.7428
Pa Hg
1 5
direct
0.2793 0.5585 0.0491 Pa
0.9927 0.9853 0.0035 Hg
0.2733 0.5466 0.6699 Hg
0.7336 0.4673 0.3357 Hg
0.5533 0.1066 0.7280 Hg
0.0012 0.0024 0.3805 Hg
```

=====

7.
A relaxed K4NdPa3S12 crystal, computed with GGA-PBE.

Values from the calculation:
Crystal system: cubic
Uncorrected formation energy, kJ per mole of atoms: -139.0
Magnetization, μB per cell: 0.00
ρ, g/cm³: 3.79

Cell and atoms, written as POSCAR:
```
K4NdPa3S12
1.0
-0.8380 6.4600 -6.5281
-8.1193 -4.1960 1.2328
2.6543 3.9424 7.9033
K Nd Pa S
4 1 3 12
direct
0.5000 0.5000 0.5000 K
0.0000 0.0000 0.5000 K
0.5000 0.0000 0.0000 K
0.0000 0.5000 0.0000 K
0.0000 0.0000 0.0000 Nd
0.5000 0.0000 0.5000 Pa
0.5000 0.5000 0.0000 Pa
0.0000 0.5000 0.5000 Pa
0.2500 0.5000 0.7500 S
0.7399 0.0000 0.7399 S
0.2601 0.0000 0.2601 S
0.7500 0.5000 0.2500 S
0.7399 0.7399 0.0000 S
0.2601 0.2601 0.0000 S
0.7500 0.2500 0.5000 S
0.2500 0.7500 0.5000 S
0.5000 0.2500 0.7500 S
0.0000 0.7399 0.7399 S
0.5000 0.7500 0.2500 S
0.0000 0.2601 0.2601 S
```

=====

8.
A relaxed Tb2PmNd6Th crystal, computed with GGA-PBE.

Values from the calculation:
Crystal system: monoclinic
Magnetization, μB per cell: 0.00
Energy of formation from the pure elements, kcal/mol of atoms: 3.27
ρ, g/cm³: 7.50

Cell and atoms, written as POSCAR:
```
Tb2PmNd6Th
1.0
-3.3307 8.8618 -3.0236
-4.1954 -4.5703 -6.3445
-3.9907 0.3726 7.9169
Tb Pm Nd Th
4 2 12 2
direct
0.4515 0.8053 0.7153 Tb
0.0485 0.2847 0.1947 Tb
0.5485 0.1947 0.2847 Tb
0.9515 0.7153 0.8053 Tb
0.2500 0.4048 0.5952 Pm
0.7500 0.5952 0.4048 Pm
0.0565 0.1075 0.7532 Nd
0.4435 0.2468 0.8925 Nd
0.9435 0.8925 0.2468 Nd
0.5565 0.7532 0.1075 Nd
0.3145 0.9846 0.4231 Nd
0.1855 0.5769 0.0154 Nd
0.6855 0.0154 0.5769 Nd
0.8145 0.4231 0.9846 Nd
0.1208 0.7004 0.4922 Nd
0.3792 0.5078 0.2996 Nd
0.8792 0.2996 0.5078 Nd
0.6208 0.4922 0.7004 Nd
0.2500 0.9745 0.0255 Th
0.7500 0.0255 0.9745 Th
```

=====

9.
A relaxed HfZr2Cu6 crystal, computed with GGA-PBE.

Values from the calculation:
Crystal system: trigonal
Magnetization, μB per cell: 0.00
Energy of formation from the pure elements, kcal/mol of atoms: 0.15
ρ, g/cm³: 8.59

Cell and atoms, written as POSCAR:
```
HfZr2Cu6
1.0
-3.3711 3.3019 -3.2864
-1.1388 -4.2374 -3.0892
-3.0640 1.1139 4.2623
Hf Zr Cu
1 2 6
direct
0.5000 0.0000 0.0000 Hf
0.3805 0.6667 0.3333 Zr
0.6195 0.3333 0.6667 Zr
0.8447 0.8197 0.6395 Cu
0.8447 0.8197 0.1803 Cu
0.1553 0.6395 0.8197 Cu
0.8447 0.3605 0.1803 Cu
0.1553 0.1803 0.8197 Cu
0.1553 0.1803 0.3605 Cu
```

=====

10.
A relaxed Pm4Sm4Er3 crystal, computed with GGA-PBE.

Values from the calculation:
Crystal system: triclinic
Magnetization, μB per cell: 0.00
Energy of formation from the pure elements, kcal/mol of atoms: 1.30
ρ, g/cm³: 7.70
Relative energy among the computed polymorphs, meV per atom: 0

Cell and atoms, written as POSCAR:
```
Pm4Sm4Er3
1.0
-1.5846 -1.5571 2.7727
-1.7222 -4.2493 -3.3704
13.4674 -11.8755 3.3092
Pm Sm Er
4 4 3
direct
0.5906 0.0910 0.8196 Pm
0.2679 0.2676 0.4645 Pm
0.7321 0.7324 0.5354 Pm
0.4094 0.9090 0.1804 Pm
0.5462 0.5467 0.9084 Sm
0.4538 0.4533 0.0916 Sm
0.3196 0.8199 0.3598 Sm
0.6804 0.1801 0.6402 Sm
0.1363 0.6361 0.7286 Er
0.8637 0.3639 0.2714 Er
0.0000 0.0000 0.0000 Er
```

=====

11.
A relaxed YThCuNi crystal, computed with GGA-PBE.

Values from the calculation:
Crystal system: cubic
Magnetization, μB per cell: 0.00
Energy of formation from the pure elements, kcal/mol of atoms: -4.99
ρ, g/cm³: 8.61
Relative energy among the computed polymorphs, meV per atom: 110

Cell and atoms, written as POSCAR:
```
YThCuNi
1.0
4.9440 0.0000 0.0000
2.4720 4.2816 0.0000
2.4720 1.4272 4.0367
Y Ni Cu Th
1 1 1 1
direct
0.7500 0.7500 0.7500 Y
0.0000 0.0000 0.0000 Ni
0.5000 0.5000 0.5000 Cu
0.2500 0.2500 0.2500 Th
```

=====

12.
A relaxed LaIn2Ru crystal, computed with GGA-PBE.

Values from the calculation:
Crystal system: monoclinic
Magnetization, μB per cell: 0.00
Energy of formation from the pure elements, kcal/mol of atoms: -3.41
ρ, g/cm³: 8.22

Cell and atoms, written as POSCAR:
```
LaIn2Ru
1.0
-0.8839 -2.4781 2.2105
2.8789 -1.6960 -0.7502
6.7107 2.2163 5.1680
In La Ru
2 1 1
direct
0.0000 0.0504 0.9543 In
0.5000 0.2763 0.2188 In
0.0000 0.4493 0.5465 La
0.5000 0.7241 0.7804 Ru
```